Record 1
TbCuSnPd (PBE, optimized geometry); energy relative to the elements = -0.6306 eV per atom; energy = -5.11 eV per atom
1.0
6.742 0.000 0.000
0.000 6.742 0.000
0.000 0.000 6.742
Tb Cu Sn Pd
4 4 4 4
direct
0.000 0.000 0.000
0.000 0.500 0.500
0.500 0.000 0.500
0.500 0.500 0.000
0.250 0.250 0.250
0.250 0.750 0.750
0.750 0.250 0.750
0.750 0.750 0.250
0.000 0.000 0.500
0.000 0.500 0.000
0.500 0.000 0.000
0.500 0.500 0.500
0.250 0.250 0.750
0.250 0.750 0.250
0.750 0.250 0.250
0.750 0.750 0.750

***

Record 2
TmCuSnPd (PBE, optimized geometry); energy relative to the elements = -0.6343 eV per atom; energy = -5.08 eV per atom
1.0
6.674 0.000 0.000
0.000 6.674 0.000
0.000 0.000 6.674
Tm Cu Sn Pd
4 4 4 4
direct
0.000 0.000 0.000
0.000 0.500 0.500
0.500 0.000 0.500
0.500 0.500 0.000
0.250 0.250 0.750
0.250 0.750 0.250
0.750 0.250 0.250
0.750 0.750 0.750
0.000 0.000 0.500
0.000 0.500 0.000
0.500 0.000 0.000
0.500 0.500 0.500
0.250 0.250 0.250
0.250 0.750 0.750
0.750 0.250 0.750
0.750 0.750 0.250